[1]
CeThSnAu | GGA-PBE | relaxed

Properties
ΔE_f = -490.9 meV per atom
Total magnetic moment = 1.7 μB per cell
Symmetry = F-43m, No. 216
Final energy = -22.60 eV for the cell shown

a = 5.3744 Å, b = 5.3744 Å, c = 5.3744 Å
α = 60.00°, β = 60.00°, γ = 60.00°
Fractional positions:
Au (0.2500, 0.2500, 0.2500)
Ce (0.5000, 0.5000, 0.5000)
Th (0.0000, 0.0000, 0.0000)
Sn (0.7500, 0.7500, 0.7500)

[2]
Ce2ThSn2Au2 | GGA-PBE | relaxed

Properties
ΔE_f = -495.5 meV per atom
Total magnetic moment = 2.1 μB per cell
Symmetry = R-3m, No. 166
Final energy = -37.32 eV for the cell shown

a = 4.7114 Å, b = 4.7114 Å, c = 9.6436 Å
α = 75.86°, β = 75.86°, γ = 60.00°
Fractional positions:
Ce (0.1425, 0.1425, 0.5725)
Ce (0.8575, 0.8575, 0.4275)
Th (0.0000, 0.0000, 0.0000)
Sn (0.7316, 0.7316, 0.8053)
Sn (0.2684, 0.2684, 0.1947)
Au (0.5723, 0.5723, 0.2831)
Au (0.4277, 0.4277, 0.7169)

[3]
CeTlSnAu | GGA-PBE | relaxed

Properties
ΔE_f = -360.9 meV per atom
Total magnetic moment = 0.7 μB per cell
Symmetry = F-43m, No. 216
Final energy = -17.02 eV for the cell shown

a = 5.2311 Å, b = 5.2311 Å, c = 5.2311 Å
α = 60.00°, β = 60.00°, γ = 60.00°
Fractional positions:
Tl (0.2500, 0.2500, 0.2500)
Au (0.7500, 0.7500, 0.7500)
Sn (0.5000, 0.5000, 0.5000)
Ce (0.0000, 0.0000, 0.0000)

[4]
CeTmSnAu | GGA-PBE | relaxed

Properties
ΔE_f = -620.3 meV per atom
Total magnetic moment = 1.7 μB per cell
Symmetry = F-43m, No. 216
Final energy = -20.17 eV for the cell shown

a = 5.2691 Å, b = 5.2691 Å, c = 5.2691 Å
α = 60.00°, β = 60.00°, γ = 60.00°
Fractional positions:
Tm (0.5000, 0.5000, 0.5000)
Au (0.7500, 0.7500, 0.7500)
Sn (0.2500, 0.2500, 0.2500)
Ce (0.0000, 0.0000, 0.0000)

[5]
CeYSnAu | GGA-PBE | relaxed

Properties
ΔE_f = -643.3 meV per atom
Total magnetic moment = 1.8 μB per cell
Symmetry = F-43m, No. 216
Final energy = -22.25 eV for the cell shown

a = 5.3060 Å, b = 5.3060 Å, c = 5.3060 Å
α = 60.00°, β = 60.00°, γ = 60.00°
Fractional positions:
Y (0.5000, 0.5000, 0.5000)
Au (0.2500, 0.2500, 0.2500)
Sn (0.7500, 0.7500, 0.7500)
Ce (0.0000, 0.0000, 0.0000)

[6]
CeZrSnAu | GGA-PBE | relaxed

Properties
ΔE_f = -435.5 meV per atom
Total magnetic moment = 2.7 μB per cell
Symmetry = F-43m, No. 216
Final energy = -23.50 eV for the cell shown

a = 5.1674 Å, b = 5.1674 Å, c = 5.1674 Å
α = 60.00°, β = 60.00°, γ = 60.00°
Fractional positions:
Zr (0.5000, 0.5000, 0.5000)
Au (0.7500, 0.7500, 0.7500)
Sn (0.2500, 0.2500, 0.2500)
Ce (0.0000, 0.0000, 0.0000)

[7]
SrCe2Au6 | GGA-PBE | relaxed

Properties
ΔE_f = -625.5 meV per atom
Total magnetic moment = 2.1 μB per cell
Symmetry = C2/m, No. 12
Final energy = -38.84 eV for the cell shown

a = 3.8368 Å, b = 7.8368 Å, c = 8.6294 Å
α = 117.01°, β = 102.91°, γ = 90.00°
Fractional positions:
Sr (0.0000, 0.0000, 0.0000)
Ce (0.8576, 0.3585, 0.7171)
Ce (0.1424, 0.6415, 0.2829)
Au (0.6779, 0.9871, 0.3538)
Au (0.3221, 0.0129, 0.6462)
Au (0.3221, 0.6333, 0.6462)
Au (0.5000, 0.3207, 0.0000)
Au (0.5000, 0.6793, 0.0000)
Au (0.6779, 0.3667, 0.3538)

[8]
SrCeAu4 | GGA-PBE | relaxed

Properties
ΔE_f = -616.5 meV per atom
Polymorph energy (0 for the lowest one) = 4 kJ/mol of formula units
Total magnetic moment = 0.9 μB per cell
Symmetry = P4/mmm, No. 123
Final energy = -24.42 eV for the cell shown

a = 3.8526 Å, b = 3.8526 Å, c = 9.6441 Å
α = 90.00°, β = 90.00°, γ = 90.01°
Fractional positions:
Sr (0.5000, 0.5000, 0.5000)
Ce (0.0000, 0.0000, 0.0000)
Au (0.5000, 0.5001, 0.1647)
Au (0.5000, 0.4999, 0.8353)
Au (0.0001, 0.0001, 0.6790)
Au (0.9999, 0.9999, 0.3210)